Entry 1:
# TbTl2AgCl6

An optimized crystal structure of TbTl2AgCl6 (PBE-GGA, the Alexandria database).

Geometry as POSCAR:
```
TbTl2AgCl6
1.0
7.395 0.000 0.000
0.000 7.711 0.000
-7.292 0.000 10.387
Tb Tl Ag Cl
2 4 2 12
direct
0.000 0.000 0.000 Tb
0.000 0.500 0.500 Tb
0.272 0.067 0.752 Tl
0.272 0.433 0.252 Tl
0.728 0.567 0.748 Tl
0.728 0.933 0.248 Tl
0.500 0.000 0.500 Ag
0.500 0.500 0.000 Ag
0.158 0.020 0.249 Cl
0.158 0.480 0.749 Cl
0.236 0.713 0.045 Cl
0.236 0.787 0.545 Cl
0.336 0.193 0.044 Cl
0.336 0.307 0.544 Cl
0.664 0.693 0.456 Cl
0.664 0.807 0.956 Cl
0.764 0.213 0.455 Cl
0.764 0.287 0.955 Cl
0.842 0.520 0.251 Cl
0.842 0.980 0.751 Cl
```

Calculated values
formation energy without anion corrections	-1.429	eV per atom
volume	592.3	Å³/cell
crystal system	monoclinic

***

Entry 2:
# BaScAg2

An optimized crystal structure of BaScAg2 (PBE-GGA, the Alexandria database).

Geometry as POSCAR:
```
BaScAg2
1.0
-4.103 4.103 3.653
4.103 -4.103 3.653
4.103 4.103 -3.653
Ba Sc Ag
2 2 4
direct
0.000 0.000 0.000 Ba
0.750 0.250 0.500 Ba
0.250 0.750 0.500 Sc
0.500 0.500 0.000 Sc
0.179 0.625 0.054 Ag
0.375 0.429 0.554 Ag
0.571 0.125 0.946 Ag
0.875 0.821 0.446 Ag
```

Calculated values
polymorph energy (0 for the lowest one)	0.334	eV/atom
volume	246.0	Å³/cell
energy relative to the elements	0.159	eV per atom
crystal system	tetragonal

***

Entry 3:
# SrHoEr2Se4

An optimized crystal structure of SrHoEr2Se4 (PBE-GGA, the Alexandria database).

Geometry as POSCAR:
```
SrHoEr2Se4
1.0
7.158 0.000 0.000
0.000 4.104 0.000
-2.338 0.000 6.767
Sr Ho Er Se
1 1 2 4
direct
0.000 0.000 0.000 Sr
0.000 0.500 0.500 Ho
0.500 0.000 0.500 Er
0.500 0.500 0.000 Er
0.258 0.000 0.745 Se
0.264 0.500 0.263 Se
0.736 0.500 0.737 Se
0.742 0.000 0.255 Se
```

Calculated values
formation energy without anion corrections	-1.759	eV per atom
volume	198.8	Å³/cell
crystal system	monoclinic

***

Entry 4:
# La4TbBi5

An optimized crystal structure of La4TbBi5 (PBE-GGA, the Alexandria database).

Geometry as POSCAR:
```
La4TbBi5
1.0
-5.214 5.214 3.302
5.214 -5.214 3.302
5.214 5.214 -3.302
La Tb Bi
4 1 5
direct
0.098 0.300 0.398 La
0.300 0.902 0.202 La
0.700 0.098 0.798 La
0.902 0.700 0.602 La
0.500 0.500 0.000 Tb
0.000 0.000 0.000 Bi
0.206 0.598 0.805 Bi
0.402 0.206 0.608 Bi
0.598 0.794 0.392 Bi
0.794 0.402 0.195 Bi
```

Calculated values
volume	359.1	Å³/cell
energy relative to the elements	-1.015	eV per atom
crystal system	tetragonal

***

Entry 5:
# Er5BTe2

An optimized crystal structure of Er5BTe2 (PBE-GGA, the Alexandria database).

Geometry as POSCAR:
```
Er5BTe2
1.0
2.819 -5.812 0.000
2.819 5.812 0.000
0.000 0.000 14.011
Er B Te
10 2 4
direct
0.064 0.936 0.633 Er
0.064 0.936 0.867 Er
0.302 0.698 0.250 Er
0.374 0.626 0.629 Er
0.374 0.626 0.871 Er
0.626 0.374 0.129 Er
0.626 0.374 0.371 Er
0.698 0.302 0.750 Er
0.936 0.064 0.133 Er
0.936 0.064 0.367 Er
0.222 0.778 0.750 B
0.778 0.222 0.250 B
0.187 0.813 0.057 Te
0.187 0.813 0.443 Te
0.813 0.187 0.557 Te
0.813 0.187 0.943 Te
```

Calculated values
formation energy without anion corrections	-0.516	eV per atom
volume	459.1	Å³/cell
crystal system	orthorhombic

***

Entry 6:
# Sr4OsO7

An optimized crystal structure of Sr4OsO7 (PBE-GGA, the Alexandria database).

Geometry as POSCAR:
```
Sr4OsO7
1.0
6.695 -1.935 0.000
6.695 1.935 0.000
-5.592 0.000 9.208
Sr Os O
4 1 7
direct
0.121 0.121 0.468 Sr
0.295 0.295 0.197 Sr
0.705 0.705 0.803 Sr
0.879 0.879 0.532 Sr
0.500 0.500 0.000 Os
0.000 0.000 0.000 O
0.091 0.091 0.685 O
0.269 0.269 0.397 O
0.361 0.361 0.987 O
0.639 0.639 0.013 O
0.731 0.731 0.603 O
0.909 0.909 0.315 O
```

Calculated values
formation energy without anion corrections	-1.963	eV per atom
volume	238.6	Å³/cell
crystal system	monoclinic